Version i
A crystal of Cd2PtBr relaxed with PBEsol, computed with SCAN.

Fermi-level density of states (states/eV/cell): 1.6
Space-group type: R3m

Cell lengths 3.3182, 3.3182, 8.6648 Å; angles 78.96, 78.96, 60.00 degrees
Element x y z (fractional)
Br: 0.2470 0.2470 0.2589
Pt: 0.4985 0.4985 0.5045
Cd: 0.9991 0.9991 0.0026
Cd: 0.7553 0.7553 0.7340

***

Version ii
A crystal of Cd2PtBr relaxed with PBEsol, computed with SCAN.

Fermi-level density of states (states/eV/cell): 0.9
Space-group type: P4/mmm

Cell lengths 3.0999, 5.0106, 5.0106 Å; angles 90.00, 90.00, 90.00 degrees
Element x y z (fractional)
Br: 0.0000 0.5000 0.5000
Pt: 0.0000 0.0000 0.0000
Cd: 0.5000 0.0000 0.5000
Cd: 0.5000 0.5000 0.0000

***

Quick one: least stable of them? version i

***

Version i
A crystal of CdPt2Br relaxed with PBEsol, computed with SCAN.

Fermi-level density of states (states/eV/cell): 2.6
Space-group type: Cmmm

Cell lengths 2.9525, 4.9561, 4.9561 Å; angles 107.34, 90.00, 90.00 degrees
Element x y z (fractional)
Br: 0.5000 0.0000 0.0000
Pt: 0.0000 0.5000 0.0000
Pt: 0.0000 0.0000 0.5000
Cd: 0.5000 0.5000 0.5000

***

Version ii
A crystal of CdPt2Br relaxed with PBEsol, computed with SCAN.

Fermi-level density of states (states/eV/cell): 4.2
Space-group type: Fm-3m

Cell lengths 4.6204, 4.6204, 4.6204 Å; angles 60.00, 60.00, 60.00 degrees
Element x y z (fractional)
Br: 0.0000 0.0000 0.0000
Pt: 0.2500 0.2500 0.2500
Pt: 0.7500 0.7500 0.7500
Cd: 0.5000 0.5000 0.5000

***

Quick one: least stable of them? version ii